Below is a geometry-optimized CrIn2Te structure, with properties calculated at the GGA-PBE level.

Computed properties:
* calculated density: 6.79 g/cm3
* total energy: -0.1623 Ha/atom
* space group: P4mm, No. 99
* raw formation energy: 0.6 eV per formula unit

abc: 3.5470 3.5470 7.9595
angles: 90.00 90.00 90.00
Last column: magnetic moment on the atom in μB.
Positions (direct):
Te  0.0000  0.0000  0.5688  -0.16
In  0.0000  0.0000  0.9679  -0.02
Cr  0.5000  0.5000  0.7282  3.42
In  0.5000  0.5000  0.2351  0.03